[1]
This record from Alexandria describes a relaxed SrLaFeBiO6 crystal. The functional is PBE+U.

Output
uncorrected energy = -6.57 eV per atom
crystal system = cubic
spin magnetization = 16.9 μB/cell

Lattice parameters (Å, degrees): 8.308 8.308 8.308 90.00 90.00 90.00
Space group F-43m (No. 216)
Unique sites:
Sr 0.000 0.000 0.000 (multiplicity 4)
La 0.000 0.000 0.500 (multiplicity 4)
Fe 0.250 0.250 0.750 (multiplicity 4)
Bi 0.250 0.250 0.250 (multiplicity 4)
O 0.012 0.250 0.750 (multiplicity 24)



[2]
This record from Alexandria describes a relaxed LaZnFeBiO6 crystal. The functional is PBE+U.

Output
uncorrected energy = -6.30 eV per atom
crystal system = monoclinic
spin magnetization = 8.2 μB/cell

Lattice parameters (Å, degrees): 5.550 6.353 9.593 90.00 124.45 90.00
Space group Pc (No. 7)
Unique sites:
La 0.000 0.154 0.000 (multiplicity 2)
Zn 0.484 0.123 0.489 (multiplicity 2)
Fe 0.747 0.284 0.259 (multiplicity 2)
Bi 0.227 0.315 0.741 (multiplicity 2)
O 0.066 0.075 0.306 (multiplicity 2)
O 0.364 0.393 0.198 (multiplicity 2)
O 0.471 0.079 0.691 (multiplicity 2)
O 0.576 0.224 0.012 (multiplicity 2)
O 0.820 0.212 0.488 (multiplicity 2)
O 0.943 0.450 0.814 (multiplicity 2)



Question: Number 1 is which compound?
Answer: SrLaFeBiO6